# 1
Density functional theory data (PBE-GGA) for a geometry-optimized Sr4ZrZn structure.

Output
Space group: F-43m (216)
Energy of formation in eV/atom: 0.825

a = 7.067 Å, b = 7.067 Å, c = 7.067 Å
α = 60.00°, β = 60.00°, γ = 60.00°
Element x y z (fractional)
1 Sr 0.376 0.376 0.376
2 Sr 0.376 0.376 0.873
3 Sr 0.376 0.873 0.376
4 Sr 0.873 0.376 0.376
5 Zr 0.750 0.750 0.750
6 Zn 0.000 0.000 0.000

***

# 2
Density functional theory data (PBE-GGA) for a geometry-optimized BaMgGa2 structure.

Output
Space group: I4_1/amd (141)
Energy of formation in eV/atom: -0.159

a = 9.984 Å, b = 9.984 Å, c = 9.984 Å
α = 149.40°, β = 149.40°, γ = 43.82°
Element x y z (fractional)
1 Ba 0.375 0.625 0.750
2 Ba 0.625 0.375 0.250
3 Mg 0.125 0.875 0.250
4 Mg 0.875 0.125 0.750
5 Ga 0.000 0.000 0.000
6 Ga 0.000 0.000 0.500
7 Ga 0.000 0.500 0.000
8 Ga 0.500 0.000 0.500

***

# 3
Density functional theory data (PBE-GGA) for a geometry-optimized Nd4NiRu structure.

Output
Space group: P4/mcc (124)
Energy of formation in eV/atom: -0.146
Energy above the lowest structure with this stoichiometry in meV per atom: 36

a = 6.991 Å, b = 6.991 Å, c = 6.542 Å
α = 90.00°, β = 90.00°, γ = 90.00°
Element x y z (fractional)
1 Nd 0.182 0.313 0.000
2 Nd 0.182 0.687 0.500
3 Nd 0.313 0.182 0.500
4 Nd 0.313 0.818 0.000
5 Nd 0.687 0.182 0.000
6 Nd 0.687 0.818 0.500
7 Nd 0.818 0.313 0.500
8 Nd 0.818 0.687 0.000
9 Ni 0.500 0.500 0.250
10 Ni 0.500 0.500 0.750
11 Ru 0.000 0.000 0.250
12 Ru 0.000 0.000 0.750

***

# 4
Density functional theory data (PBE-GGA) for a geometry-optimized CaFe2Si2 structure.

Output
Space group: P4/mbm (127)
Formation energy (no corrections) in eV/f.u.: -1.00

a = 7.090 Å, b = 7.090 Å, c = 2.661 Å
α = 90.00°, β = 90.00°, γ = 90.00°
Element x y z (fractional)
1 Ca 0.000 0.000 0.000
2 Ca 0.500 0.500 0.000
3 Fe 0.141 0.359 0.000
4 Fe 0.359 0.859 0.000
5 Fe 0.641 0.141 0.000
6 Fe 0.859 0.641 0.000
7 Si 0.146 0.646 0.500
8 Si 0.354 0.146 0.500
9 Si 0.646 0.854 0.500
10 Si 0.854 0.354 0.500

***

# 5
Density functional theory data (PBE-GGA) for a geometry-optimized PaCrHg structure.

Output
Space group: P-1 (2)
Energy of formation in eV/atom: 0.138

a = 4.631 Å, b = 5.253 Å, c = 5.659 Å
α = 108.33°, β = 102.75°, γ = 90.09°
Element x y z (fractional)
1 Pa 0.188 0.429 0.278
2 Pa 0.812 0.571 0.722
3 Cr 0.340 0.602 0.828
4 Cr 0.660 0.398 0.172
5 Hg 0.300 0.059 0.703
6 Hg 0.700 0.941 0.297

***

# 6
Density functional theory data (PBE-GGA) for a geometry-optimized Sc2BeSi4Ir3 structure.

Output
Space group: P-4m2 (115)
Formation energy (no corrections) in eV/f.u.: -7.93

a = 3.851 Å, b = 3.851 Å, c = 10.473 Å
α = 90.00°, β = 90.00°, γ = 90.00°
Element x y z (fractional)
1 Sc 0.000 0.500 0.235
2 Sc 0.500 0.000 0.765
3 Be 0.500 0.500 0.000
4 Si 0.000 0.000 0.500
5 Si 0.000 0.500 0.864
6 Si 0.500 0.000 0.136
7 Si 0.500 0.500 0.500
8 Ir 0.000 0.000 0.000
9 Ir 0.000 0.500 0.638
10 Ir 0.500 0.000 0.362

***

# 7
Density functional theory data (PBE-GGA) for a geometry-optimized YNi2Hg structure.

Output
Space group: P4mm (99)
Energy of formation in eV/atom: -0.096

a = 3.297 Å, b = 3.297 Å, c = 6.562 Å
α = 90.00°, β = 90.00°, γ = 90.00°
Element x y z (fractional)
1 Y 0.000 0.000 0.000
2 Ni 0.000 0.000 0.592
3 Ni 0.500 0.500 0.745
4 Hg 0.500 0.500 0.343